Material: Gd2ThSb
Method: DFT, PBE-GGA
State: optimized geometry

Lattice parameters (Å, degrees): 5.470 5.470 5.471 60.00 60.00 60.00
Element x y z (fractional)
Gd1 0.750 0.750 0.750
Gd2 0.250 0.250 0.250
Th1 0.500 0.500 0.500
Sb1 0.000 0.000 0.000

Computed properties:
**Energy above the lowest structure with this stoichiometry**: 1.138 eV per formula unit
**Raw total energy**: -10.141 eV/atom
**Density of states at the Fermi level**: 5.8 states/eV/f.u.
**ΔE_f (raw)**: -215 meV per atom
**Calculated volume**: 28.94 Å³ per atom